(1)
# LiCrW2

A PBEsol-optimized structure of LiCrW2 (SCAN, Alexandria via LeMat-Bulk).

Structure (CIF):
```
data_LiCrW2
_chemical_formula_sum 'Li1 Cr1 W2'
_cell_length_a 4.2914
_cell_length_b 4.2914
_cell_length_c 4.2914
_cell_angle_alpha 60.00
_cell_angle_beta 60.00
_cell_angle_gamma 60.00
_symmetry_space_group_name_H-M 'P 1'
_symmetry_Int_Tables_number 1
_symmetry_space_group_name_Hall 'P 1'
loop_
_atom_site_label
_atom_site_fract_x
_atom_site_fract_y
_atom_site_fract_z
Li1 0.0000 0.0000 0.0000
Cr1 0.2500 0.2500 0.2500
W1 0.5000 0.5000 0.5000
W2 0.7500 0.7500 0.7500
```

Results
For the spin magnetization, the calculation gives 0.65 μB per atom. For the density of states at the Fermi level, the calculation gives 3.94 states/eV/cell.

***

(2)
# LiCrW2

A PBEsol-optimized structure of LiCrW2 (SCAN, Alexandria via LeMat-Bulk).

Structure (CIF):
```
data_LiCrW2
_chemical_formula_sum 'Li1 Cr1 W2'
_cell_length_a 3.0403
_cell_length_b 3.0403
_cell_length_c 5.7302
_cell_angle_alpha 90.00
_cell_angle_beta 90.00
_cell_angle_gamma 90.00
_symmetry_space_group_name_H-M 'P 1'
_symmetry_Int_Tables_number 1
_symmetry_space_group_name_Hall 'P 1'
loop_
_atom_site_label
_atom_site_fract_x
_atom_site_fract_y
_atom_site_fract_z
Li1 0.0000 0.0000 0.0000
Cr1 0.0000 0.0000 0.5000
W1 0.5000 0.5000 0.2512
W2 0.5000 0.5000 0.7488
```

Results
For the spin magnetization, the calculation gives 0.00 μB per atom. For the density of states at the Fermi level, the calculation gives 3.82 states/eV/cell.

***

(3)
# LiCrW2

A PBEsol-optimized structure of LiCrW2 (SCAN, Alexandria via LeMat-Bulk).

Structure (CIF):
```
data_LiCrW2
_chemical_formula_sum 'Li1 Cr1 W2'
_cell_length_a 2.5869
_cell_length_b 4.2169
_cell_length_c 5.1331
_cell_angle_alpha 90.00
_cell_angle_beta 98.94
_cell_angle_gamma 90.00
_symmetry_space_group_name_H-M 'P 1'
_symmetry_Int_Tables_number 1
_symmetry_space_group_name_Hall 'P 1'
loop_
_atom_site_label
_atom_site_fract_x
_atom_site_fract_y
_atom_site_fract_z
Li1 0.0000 0.0000 0.0000
Cr1 0.5000 0.0000 0.5000
W1 0.2386 0.5000 0.7455
W2 0.7614 0.5000 0.2545
```

Results
For the spin magnetization, the calculation gives 0.00 μB per atom. For the density of states at the Fermi level, the calculation gives 2.50 states/eV/cell.

***

(4)
# LiCrW

A PBEsol-optimized structure of LiCrW (SCAN, Alexandria via LeMat-Bulk).

Structure (CIF):
```
data_LiCrW
_chemical_formula_sum 'Li1 Cr1 W1'
_cell_length_a 7.0753
_cell_length_b 6.9149
_cell_length_c 2.5821
_cell_angle_alpha 82.89
_cell_angle_beta 75.88
_cell_angle_gamma 21.23
_symmetry_space_group_name_H-M 'P 1'
_symmetry_Int_Tables_number 1
_symmetry_space_group_name_Hall 'P 1'
loop_
_atom_site_label
_atom_site_fract_x
_atom_site_fract_y
_atom_site_fract_z
Li1 0.0000 0.0000 0.0000
Cr1 0.6672 0.6672 0.3328
W1 0.3202 0.3202 0.6798
```

Results
For the spin magnetization, the calculation gives 0.00 μB per atom. For the density of states at the Fermi level, the calculation gives 2.76 states/eV/cell.

***

(5)
# LiCrW2

A PBEsol-optimized structure of LiCrW2 (SCAN, Alexandria via LeMat-Bulk).

Structure (CIF):
```
data_LiCrW2
_chemical_formula_sum 'Li1 Cr1 W2'
_cell_length_a 4.2899
_cell_length_b 4.2899
_cell_length_c 4.2899
_cell_angle_alpha 122.90
_cell_angle_beta 122.90
_cell_angle_gamma 85.04
_symmetry_space_group_name_H-M 'P 1'
_symmetry_Int_Tables_number 1
_symmetry_space_group_name_Hall 'P 1'
loop_
_atom_site_label
_atom_site_fract_x
_atom_site_fract_y
_atom_site_fract_z
Li1 0.0000 0.0000 0.0000
Cr1 0.5000 0.5000 0.0000
W1 0.2500 0.7500 0.5000
W2 0.7500 0.2500 0.5000
```

Results
For the spin magnetization, the calculation gives 0.00 μB per atom. For the density of states at the Fermi level, the calculation gives 3.33 states/eV/cell.

***

(6)
# LiYCr2

A PBEsol-optimized structure of LiYCr2 (SCAN, Alexandria via LeMat-Bulk).

Structure (CIF):
```
data_LiYCr2
_chemical_formula_sum 'Li1 Y1 Cr2'
_cell_length_a 10.0183
_cell_length_b 10.0183
_cell_length_c 10.0183
_cell_angle_alpha 15.54
_cell_angle_beta 15.54
_cell_angle_gamma 15.54
_symmetry_space_group_name_H-M 'P 1'
_symmetry_Int_Tables_number 1
_symmetry_space_group_name_Hall 'P 1'
loop_
_atom_site_label
_atom_site_fract_x
_atom_site_fract_y
_atom_site_fract_z
Li1 0.0000 0.0000 0.0000
Y1 0.5000 0.5000 0.5000
Cr1 0.2548 0.2548 0.2548
Cr2 0.7452 0.7452 0.7452
```

Results
For the spin magnetization, the calculation gives 1.65 μB per atom. For the density of states at the Fermi level, the calculation gives 2.94 states/eV/cell.

***

no.,formation enthalpy at 0 K (eV/atom)
1,0.453
2,0.567
3,0.419
4,0.485
5,0.504
6,0.959